Entry 1:
Computed, not measured: a geometry-optimized RbGe3Au structure at the PBE-GGA level of DFT.

abc: 6.4074 6.4073 6.5208
angles: 90.00 90.00 116.98
Fractional coordinates of all 10 atoms:
Au 0.8781 0.1219 0.7500
Ge 0.3714 0.6286 0.2500
Ge 0.6286 0.3714 0.7500
Ge 0.7445 0.7445 0.5000
Ge 0.2555 0.2555 0.0000
Rb 0.2468 0.7532 0.7500
Rb 0.7532 0.2468 0.2500
Ge 0.2555 0.2555 0.5000
Ge 0.7445 0.7445 0.0000
Au 0.1219 0.8781 0.2500

DFT formation energy ... -52 kJ/mol of formula units
Offset from the most stable computed form ... 0 meV per atom
Space group ... Cmcm, No. 63

---

Entry 2:
Computed, not measured: a geometry-optimized Rb3Ge4Au2 structure at the PBE-GGA level of DFT.

abc: 4.4393 7.1216 9.5531
angles: 69.35 79.65 70.38
Fractional coordinates of all 9 atoms:
Ge 0.9369 0.5290 0.6319
Rb 0.0000 0.0000 0.0000
Rb 0.3447 0.8917 0.3730
Ge 0.0631 0.4710 0.3681
Au 0.3761 0.5444 0.7753
Rb 0.6553 0.1083 0.6270
Ge 0.2534 0.3683 0.0763
Ge 0.7466 0.6317 0.9237
Au 0.6239 0.4556 0.2247

DFT formation energy ... -106 kJ/mol of formula units
Space group ... P-1, No. 2

---

Entry 3:
Computed, not measured: a geometry-optimized Rb3Ge2Au3 structure at the PBE-GGA level of DFT.

abc: 6.6710 6.6710 7.8654
angles: 64.91 64.91 60.00
Fractional coordinates of all 8 atoms:
Au 0.5000 0.0000 0.0000
Rb 0.0849 0.0849 0.7453
Au 0.0000 0.5000 0.0000
Rb 0.5000 0.5000 0.5000
Rb 0.9151 0.9151 0.2547
Ge 0.7459 0.7459 0.7624
Ge 0.2541 0.2541 0.2376
Au 0.5000 0.5000 0.0000

DFT formation energy ... -157 kJ/mol of formula units
Space group ... R-3m, No. 166

---

Entry 4:
Computed, not measured: a geometry-optimized Rb2GeAu structure at the PBE-GGA level of DFT.

abc: 4.6468 5.6846 6.5899
angles: 115.55 90.00 90.00
Fractional coordinates of all 4 atoms:
Ge 0.5000 0.7127 0.4253
Rb 0.5000 0.4006 0.8012
Rb 0.0000 0.0957 0.1915
Au 0.0000 0.7864 0.5727

DFT formation energy ... -76 kJ/mol of formula units
Space group ... Amm2, No. 38

---

Entry 5:
Computed, not measured: a geometry-optimized RbGeAuS3 structure at the PBE-GGA level of DFT.

abc: 7.6335 7.6335 8.1200
angles: 71.56 71.56 57.59
Fractional coordinates of all 12 atoms:
Ge 0.9391 0.9391 0.8750
Au 0.7402 0.2598 0.5000
Rb 0.3413 0.3413 0.2128
S 0.8819 0.8819 0.1776
S 0.8560 0.3730 0.2067
S 0.3730 0.8560 0.2067
Au 0.2598 0.7402 0.5000
S 0.1181 0.1181 0.8224
S 0.1440 0.6270 0.7933
Ge 0.0609 0.0609 0.1250
S 0.6270 0.1440 0.7933
Rb 0.6587 0.6587 0.7872

Formation energy without anion corrections ... -0.624 eV per atom
Space group ... C2/m, No. 12

---

Entry 6:
Computed, not measured: a geometry-optimized RbGeAu2S4 structure at the PBE-GGA level of DFT.

abc: 6.5482 6.5756 6.5756
angles: 82.49 60.14 60.14
Fractional coordinates of all 8 atoms:
S 0.9763 0.4758 0.1738
Ge 0.0000 0.5000 0.5000
Au 0.5000 0.3393 0.6607
Au 0.5000 0.6607 0.3393
S 0.3740 0.1738 0.4758
S 0.6260 0.5242 0.8262
S 0.0237 0.8262 0.5242
Rb 0.0000 0.0000 0.0000

Formation energy without anion corrections ... -0.400 eV per atom
Space group ... I222, No. 23

---

Entry 7:
Computed, not measured: a geometry-optimized Rb2GeSb2Au6 structure at the PBE-GGA level of DFT.

abc: 8.4036 8.3959 7.9921
angles: 122.62 90.00 120.03
Fractional coordinates of all 11 atoms:
Au 0.2888 0.5776 0.3590
Au 0.2852 0.0550 0.3474
Au 0.7112 0.4224 0.6410
Ge 0.5000 0.0000 0.5000
Au 0.2302 0.9450 0.6526
Sb 0.9276 0.8551 0.7746
Sb 0.0724 0.1449 0.2254
Rb 0.2721 0.5442 0.8437
Au 0.7698 0.0550 0.3474
Au 0.7148 0.9450 0.6526
Rb 0.7279 0.4558 0.1563

Formation energy without anion corrections ... -0.209 eV per atom
Space group ... C2/m, No. 12

---

Entry 8:
Computed, not measured: a geometry-optimized RbGeSbAu3 structure at the PBE-GGA level of DFT.

abc: 7.0929 6.9864 8.0346
angles: 115.77 90.00 90.00
Fractional coordinates of all 12 atoms:
Au 0.5000 0.2104 0.0000
Au 0.7500 0.7444 0.4888
Rb 0.2500 0.7489 0.4978
Au 0.5000 0.7896 0.0000
Ge 0.2500 0.0843 0.1686
Rb 0.7500 0.2511 0.5022
Sb 0.7500 0.5605 0.1211
Au 0.0000 0.2104 0.0000
Sb 0.2500 0.4395 0.8789
Au 0.0000 0.7896 0.0000
Ge 0.7500 0.9157 0.8314
Au 0.2500 0.2556 0.5112

Formation energy without anion corrections ... -0.177 eV per atom
Space group ... Cmcm, No. 63

---

Entry 9:
Computed, not measured: a geometry-optimized RbGe2Sb2Au6 structure at the PBE-GGA level of DFT.

abc: 7.6498 8.6623 8.1932
angles: 127.17 90.19 63.98
Fractional coordinates of all 11 atoms:
Au 0.0022 0.9932 0.6753
Sb 0.7921 0.4072 0.7509
Au 0.9978 0.0068 0.3247
Au 0.9944 0.3945 0.0798
Ge 0.8989 0.2053 0.1747
Au 0.3822 0.6100 0.9260
Ge 0.1011 0.7947 0.8253
Au 0.6178 0.3900 0.0740
Au 0.0056 0.6055 0.9202
Sb 0.2079 0.5928 0.2491
Rb 0.5000 0.0000 0.5000

Formation energy without anion corrections ... -0.031 eV per atom
Space group ... P-1, No. 2

---

Entry 10:
Computed, not measured: a geometry-optimized Rb2GeSbAu6 structure at the PBE-GGA level of DFT.

abc: 7.4682 7.4703 7.4248
angles: 59.78 59.79 90.05
Fractional coordinates of all 10 atoms:
Au 0.7406 0.2593 0.0000
Sb 0.0000 0.0000 0.0000
Rb 0.7501 0.2501 0.4998
Au 0.7407 0.7407 0.5186
Au 0.2594 0.7407 0.0000
Ge 0.5000 0.5000 0.0000
Au 0.2593 0.2593 0.0000
Au 0.7407 0.7407 0.0000
Au 0.2593 0.2593 0.4814
Rb 0.2499 0.7499 0.5002

Formation energy without anion corrections ... -0.159 eV per atom
Space group ... C2/m, No. 12

---

Entry 11:
Computed, not measured: a geometry-optimized Rb2GeAuSe4 structure at the PBE-GGA level of DFT.

abc: 6.7926 8.0024 11.6051
angles: 82.87 72.98 64.89
Fractional coordinates of all 16 atoms:
Rb 0.5712 0.5000 0.8576
Se 0.1786 0.3045 0.3918
Se 0.8751 0.8045 0.8918
Au 0.7500 0.5000 0.5000
Ge 0.5000 0.0000 0.0000
Se 0.2331 0.1955 0.8918
Rb 0.9288 0.5000 0.1424
Se 0.8749 0.6955 0.6082
Se 0.4296 0.6955 0.3918
Se 0.3204 0.8045 0.1082
Rb 0.1788 0.0000 0.6424
Ge 0.2500 0.5000 0.5000
Se 0.5714 0.1955 0.1082
Au 0.0000 0.0000 0.0000
Se 0.5169 0.3045 0.6082
Rb 0.8212 0.0000 0.3576

Formation energy without anion corrections ... -0.592 eV per atom
Space group ... Fddd, No. 70

---

Entry 12:
Computed, not measured: a geometry-optimized RbGeAuSe3 structure at the PBE-GGA level of DFT.

abc: 7.8786 7.8786 8.1512
angles: 73.58 73.58 58.34
Fractional coordinates of all 12 atoms:
Ge 0.9319 0.9319 0.8753
Se 0.8613 0.3921 0.2093
Se 0.8835 0.8835 0.1911
Ge 0.0681 0.0681 0.1247
Au 0.7292 0.2708 0.5000
Rb 0.3517 0.3517 0.2256
Se 0.3921 0.8613 0.2093
Se 0.6079 0.1387 0.7907
Au 0.2708 0.7292 0.5000
Se 0.1165 0.1165 0.8089
Rb 0.6483 0.6483 0.7744
Se 0.1387 0.6079 0.7907

Formation energy without anion corrections ... -0.564 eV per atom
Space group ... C2/m, No. 12

---

Entry 13:
Computed, not measured: a geometry-optimized RbGeAu2Se4 structure at the PBE-GGA level of DFT.

abc: 6.8991 6.7826 6.7826
angles: 81.77 59.43 59.43
Fractional coordinates of all 8 atoms:
Se 0.0155 0.8398 0.5310
Ge 0.0000 0.5000 0.5000
Au 0.5000 0.6607 0.3393
Se 0.9845 0.4690 0.1602
Se 0.6137 0.5310 0.8398
Au 0.5000 0.3393 0.6607
Se 0.3863 0.1602 0.4690
Rb 0.0000 0.0000 0.0000

Formation energy without anion corrections ... -0.382 eV per atom
Space group ... I222, No. 23

---

Entry 14:
Computed, not measured: a geometry-optimized Rb2SnGeAu6 structure at the PBE-GGA level of DFT.

abc: 7.3973 7.3995 7.4085
angles: 60.05 60.06 89.97
Fractional coordinates of all 10 atoms:
Sn 0.5000 0.5000 0.0000
Au 0.2412 0.2413 0.0001
Rb 0.2499 0.7499 0.5002
Rb 0.7501 0.2501 0.4998
Au 0.7588 0.7588 0.4824
Ge 0.0000 0.0000 0.0000
Au 0.2413 0.7588 0.0000
Au 0.7587 0.2412 0.0000
Au 0.2412 0.2412 0.5176
Au 0.7588 0.7587 0.9999

DFT formation energy ... -148 kJ/mol of formula units
Space group ... I4/mmm, No. 139

---

Entry 15:
Computed, not measured: a geometry-optimized RbSn2GeAu structure at the PBE-GGA level of DFT.

abc: 5.7532 4.9857 5.7532
angles: 90.00 90.00 90.00
Fractional coordinates of all 5 atoms:
Ge 0.0000 0.5000 0.0000
Sn 0.0000 0.0000 0.5000
Rb 0.5000 0.5000 0.5000
Sn 0.5000 0.0000 0.0000
Au 0.0000 0.0000 0.0000

DFT formation energy ... 121 kJ/mol of formula units
Space group ... P4/mmm, No. 123

---

Entry 16:
Computed, not measured: a geometry-optimized Rb2Sn3GeAu4 structure at the PBE-GGA level of DFT.

abc: 4.9522 4.9522 11.0350
angles: 90.00 90.00 90.00
Fractional coordinates of all 10 atoms:
Sn 0.0000 0.0000 0.5000
Sn 0.5000 0.0000 0.8791
Sn 0.0000 0.5000 0.1209
Au 0.0000 0.0000 0.0000
Rb 0.5000 0.0000 0.2500
Rb 0.0000 0.5000 0.7500
Au 0.5000 0.0000 0.6173
Au 0.0000 0.5000 0.3827
Ge 0.5000 0.5000 0.5000
Au 0.5000 0.5000 0.0000

DFT formation energy ... -221 kJ/mol of formula units
Space group ... P-4m2, No. 115

---

Entry 17:
Computed, not measured: a geometry-optimized RbTcGe2Au structure at the PBE-GGA level of DFT.

abc: 4.8022 4.8022 5.4958
angles: 90.00 90.00 90.00
Fractional coordinates of all 5 atoms:
Rb 0.5000 0.5000 0.5000
Ge 0.0000 0.5000 0.0000
Ge 0.5000 0.0000 0.0000
Au 0.0000 0.0000 0.5000
Tc 0.0000 0.0000 0.0000

DFT formation energy ... 25 kJ/mol of formula units
Space group ... P4/mmm, No. 123

---

Entry 18:
Computed, not measured: a geometry-optimized Rb2GeTe4Au structure at the PBE-GGA level of DFT.

abc: 7.2875 8.4437 12.3236
angles: 82.67 72.80 64.43
Fractional coordinates of all 16 atoms:
Te 0.2202 0.2024 0.8912
Te 0.4362 0.7024 0.3912
Ge 0.2500 0.5000 0.5000
Te 0.8886 0.7976 0.8912
Rb 0.8223 0.0000 0.3555
Te 0.5774 0.2024 0.1088
Au 0.7500 0.5000 0.5000
Te 0.5298 0.2976 0.6088
Rb 0.1777 0.0000 0.6445
Ge 0.5000 0.0000 0.0000
Au 0.0000 0.0000 0.0000
Rb 0.9277 0.5000 0.1445
Te 0.1726 0.2976 0.3912
Te 0.8614 0.7024 0.6088
Te 0.3138 0.7976 0.1088
Rb 0.5723 0.5000 0.8555

Formation energy without anion corrections ... -0.435 eV per atom
Space group ... Fddd, No. 70

---

Entry 19:
Computed, not measured: a geometry-optimized RbTlGeAu2 structure at the PBE-GGA level of DFT.

abc: 5.1925 5.1925 5.5750
angles: 90.00 90.00 90.00
Fractional coordinates of all 5 atoms:
Au 0.5000 0.0000 0.0000
Tl 0.0000 0.0000 0.5000
Rb 0.5000 0.5000 0.5000
Au 0.0000 0.5000 0.0000
Ge 0.0000 0.0000 0.0000

DFT formation energy ... -12 kJ/mol of formula units
Space group ... P4/mmm, No. 123

---

Entry 20:
Computed, not measured: a geometry-optimized RbTl2GeAu2 structure at the PBE-GGA level of DFT.

abc: 4.5348 9.3332 8.4764
angles: 90.00 90.00 90.00
Fractional coordinates of all 12 atoms:
Tl 0.0000 0.8399 0.8407
Ge 0.5000 0.6207 0.3930
Tl 0.5000 0.6212 0.0208
Rb 0.0000 0.9870 0.3172
Rb 0.0000 0.4870 0.6828
Tl 0.5000 0.1212 0.9792
Ge 0.5000 0.1207 0.6070
Au 0.5000 0.8357 0.5871
Au 0.0000 0.1412 0.7474
Au 0.5000 0.3357 0.4129
Tl 0.0000 0.3399 0.1593
Au 0.0000 0.6412 0.2526

DFT formation energy ... -66 kJ/mol of formula units
Space group ... Pmc2_1, No. 26

---

Entry 21:
Computed, not measured: a geometry-optimized ReGeAu2 structure at the PBE-GGA level of DFT.

abc: 3.7898 3.7898 10.4248
angles: 79.53 79.53 90.00
Site moments in Bohr magnetons follow the coordinates.
Fractional coordinates of all 8 atoms:
Au 0.8750 0.8778 0.7500  0.01
Ge 0.5000 0.5000 0.0000  -0.02
Re 0.0000 0.0000 0.0000  1.05
Au 0.3750 0.3722 0.7500  0.01
Au 0.1222 0.6250 0.2500  0.00
Au 0.6278 0.1250 0.2500  0.00
Re 0.7500 0.2500 0.5000  1.02
Ge 0.2500 0.7500 0.5000  -0.02

DFT formation energy ... 246 kJ/mol of formula units
Space group ... I-42d, No. 122

---

Entry 22:
Computed, not measured: a geometry-optimized Re2GeAu structure at the PBE-GGA level of DFT.

abc: 7.2531 7.2531 5.7462
angles: 50.87 50.87 90.00
Fractional coordinates of all 8 atoms:
Re 0.8750 0.8380 0.7500
Au 0.0000 0.0000 0.0000
Ge 0.5000 0.5000 0.0000
Au 0.7500 0.2500 0.5000
Ge 0.2500 0.7500 0.5000
Re 0.1620 0.6250 0.2500
Re 0.3750 0.4120 0.7500
Re 0.5880 0.1250 0.2500

DFT formation energy ... 334 kJ/mol of formula units
Space group ... I-42d, No. 122

---

Entry 23:
Computed, not measured: a geometry-optimized ReGe3Au structure at the PBE-GGA level of DFT.

abc: 4.8336 4.8336 4.8336
angles: 90.00 90.00 90.00
Fractional coordinates of all 5 atoms:
Ge 0.0000 0.0000 0.5000
Ge 0.5000 0.0000 0.0000
Au 0.5000 0.5000 0.5000
Ge 0.0000 0.5000 0.0000
Re 0.0000 0.0000 0.0000

DFT formation energy ... 166 kJ/mol of formula units
Offset from the most stable computed form ... 0 meV per atom
Space group ... Pm-3m, No. 221

---

no.,total DFT energy (no corrections) (eV for the cell shown)
1,-37.279
2,-29.021
3,-23.594
4,-10.621
5,-49.980
6,-31.853
7,-36.761
8,-41.200
9,-38.451
10,-31.925
11,-57.007
12,-45.406
13,-29.132
14,-31.756
15,-15.610
16,-33.962
17,-23.582
18,-51.751
19,-14.633
20,-35.119
21,-42.143
22,-58.668
23,-27.862